Entry from the Alexandria database: a geometry-optimized CsTl2MoO4 structure (GGA+U).

Summary:
Total energy = -5.346 eV per atom

Cell: 5.689 5.689 7.953 Å, 106.97 106.97 100.60°
Fractional coordinates of all 8 atoms:
O  0.189  0.189  0.798
O  0.608  0.608  0.798
O  0.709  0.383  0.092
O  0.383  0.709  0.092
Mo  0.471  0.471  0.943
Tl  0.790  0.290  0.580
Tl  0.290  0.790  0.580
Cs  0.059  0.059  0.118